Entry 1:
Here is an optimized crystal structure of Pm3Dy2Ho3 from Alexandria via LeMat-Bulk. Energies are from PBE-GGA.

Calculated values
- Total magnetization: 0.000 μB/cell
- Energy of formation: 97.2 kJ/mol of formula units
- DOS at the Fermi energy: 2.2902 states/eV per atom
- Relative energy among the computed polymorphs: 0.85 eV per formula unit

Cell lengths 8.477, 8.477, 5.946 Å; angles 110.49, 110.49, 41.04 degrees
Atoms (fractional coordinates):
Pm  0.000  0.000  0.000
Pm  0.127  0.127  0.628
Pm  0.873  0.873  0.372
Dy  0.251  0.251  0.252
Dy  0.749  0.749  0.748
Ho  0.375  0.375  0.876
Ho  0.500  0.500  0.500
Ho  0.625  0.625  0.124

Entry 2:
Here is an optimized crystal structure of TaRuF3 from Alexandria via LeMat-Bulk. Energies are from PBE-GGA.

Calculated values
- Total magnetization: 0.527 μB/cell
- DOS at the Fermi energy: 0.8870 states/eV per atom
- Relative energy among the computed polymorphs: 0.00 eV per formula unit

Cell lengths 4.199, 4.199, 4.199 Å; angles 90.00, 90.00, 90.00 degrees
Atoms (fractional coordinates):
Ta  0.000  0.000  0.000
Ru  0.500  0.500  0.500
F  0.000  0.000  0.500
F  0.000  0.500  0.000
F  0.500  0.000  0.000

Entry 3:
Here is an optimized crystal structure of MgPd2Pt from Alexandria via LeMat-Bulk. Energies are from PBE-GGA.

Calculated values
- Total magnetization: 0.000 μB/cell
- Energy of formation: -74.3 kJ/mol of formula units
- DOS at the Fermi energy: 0.5702 states/eV per atom

Cell lengths 9.750, 9.750, 9.750 Å; angles 157.40, 157.40, 32.17 degrees
Atoms (fractional coordinates):
Mg  0.000  0.000  0.000
Mg  0.750  0.250  0.500
Pd  0.129  0.625  0.004
Pd  0.375  0.379  0.504
Pd  0.621  0.125  0.996
Pd  0.875  0.871  0.496
Pt  0.250  0.750  0.500
Pt  0.500  0.500  0.000

Entry 4:
Here is an optimized crystal structure of ThTaOs2 from Alexandria via LeMat-Bulk. Energies are from PBE-GGA.

Calculated values
- Total magnetization: 0.000 μB/cell
- Energy of formation: -28.0 kJ/mol of formula units
- DOS at the Fermi energy: 0.7831 states/eV per atom

Cell lengths 5.734, 5.734, 5.734 Å; angles 44.14, 44.14, 44.14 degrees
Atoms (fractional coordinates):
Th  0.000  0.000  0.000
Ta  0.500  0.500  0.500
Os  0.221  0.221  0.221
Os  0.779  0.779  0.779

Entry 5:
Here is an optimized crystal structure of BaSrNd4 from Alexandria via LeMat-Bulk. Energies are from PBE-GGA.

Calculated values
- Total magnetization: 0.000 μB/cell
- Energy of formation: 127.6 kJ/mol of formula units
- DOS at the Fermi energy: 2.1057 states/eV per atom

Cell lengths 7.160, 7.160, 7.160 Å; angles 60.00, 60.00, 60.00 degrees
Atoms (fractional coordinates):
Ba  0.000  0.000  0.000
Sr  0.750  0.750  0.750
Nd  0.377  0.377  0.377
Nd  0.377  0.377  0.870
Nd  0.377  0.870  0.377
Nd  0.870  0.377  0.377

Entry 6:
Here is an optimized crystal structure of Er3Sn4Au3 from Alexandria via LeMat-Bulk. Energies are from PBE-GGA.

Calculated values
- Total magnetization: 0.000 μB/cell
- Energy of formation: -608.7 kJ/mol of formula units
- DOS at the Fermi energy: 0.7107 states/eV per atom

Cell lengths 8.578, 8.578, 8.578 Å; angles 109.47, 109.47, 109.47 degrees
Atoms (fractional coordinates):
Er  0.125  0.750  0.875
Er  0.250  0.625  0.375
Er  0.375  0.250  0.625
Er  0.625  0.375  0.250
Er  0.750  0.875  0.125
Er  0.875  0.125  0.750
Sn  0.000  0.322  0.500
Sn  0.000  0.822  0.500
Sn  0.178  0.178  0.178
Sn  0.322  0.500  0.000
Sn  0.500  0.000  0.322
Sn  0.500  0.000  0.822
Sn  0.678  0.678  0.678
Sn  0.822  0.500  0.000
Au  0.125  0.875  0.250
Au  0.250  0.125  0.875
Au  0.375  0.625  0.750
Au  0.625  0.750  0.375
Au  0.750  0.375  0.625
Au  0.875  0.250  0.125